1.
Here is crystalline VZn2Co at its relaxed geometry from the Alexandria database. Energies are from PBE-GGA.

Calculated values
The density of states at the Fermi level comes out at 4.5 states/eV/cell. The value obtained for the formation energy is 0.327 eV per atom. The value obtained for the energy relative to the lowest polymorph listed for this composition is 0.292 eV/atom.

POSCAR file:
```
VZn2Co
1.0
-0.997 1.806 -1.571
-2.563 0.122 -0.374
-1.975 6.606 6.705
V Zn Co
1 2 1
Cartesian
0.000 0.000 0.000
-3.780 3.591 0.106
-1.755 4.943 4.654
-2.767 4.267 2.380
```

---

2.
Here is crystalline V2ZnCo9 at its relaxed geometry from the Alexandria database. Energies are from PBE-GGA.

Calculated values
The density of states at the Fermi level comes out at 14.0 states/eV/cell. The value obtained for the formation energy is -0.084 eV per atom.

POSCAR file:
```
V2ZnCo9
1.0
-2.799 2.138 -0.535
-2.164 -2.830 0.009
-1.249 0.990 10.486
Co Zn V
9 1 2
Cartesian
-1.612 1.237 1.514
-2.024 1.564 4.976
-2.119 -0.594 8.709
-1.294 -1.247 1.787
-2.900 -0.014 3.253
-1.707 -0.920 5.248
-3.312 0.312 6.707
-2.481 -0.346 -0.263
-2.436 1.890 8.437
0.000 0.000 0.000
-0.834 0.661 7.002
-0.415 0.329 3.484
```